[1]
VASP calculation (PBE-GGA) on Cs2KHg after structural relaxation.

Calculated values
Symmetry   R-3m (166)
Polymorph energy (0 for the lowest one)   63 meV per atom

a = 5.018 Å, b = 5.018 Å, c = 14.313 Å
α = 79.90°, β = 79.90°, γ = 60.00°
Sites, in units of the cell vectors:
Cs1 0.108 0.108 0.676
Cs2 0.892 0.892 0.324
K1 0.000 0.000 0.000
Hg1 0.500 0.500 0.500

[2]
VASP calculation (PBE-GGA) on CsK4Hg after structural relaxation.

Calculated values
Symmetry   Pmma (51)
Polymorph energy (0 for the lowest one)   0 meV per atom

a = 5.412 Å, b = 11.019 Å, c = 12.961 Å
α = 90.00°, β = 90.00°, γ = 90.00°
Sites, in units of the cell vectors:
Cs1 0.000 0.587 0.750
Cs2 0.000 0.413 0.250
K1 0.000 0.000 0.500
K2 0.000 0.000 0.000
K3 0.500 0.960 0.750
K4 0.500 0.040 0.250
K5 0.500 0.697 0.074
K6 0.500 0.303 0.926
K7 0.500 0.697 0.426
K8 0.500 0.303 0.574
Hg1 0.000 0.193 0.750
Hg2 0.000 0.807 0.250

[3]
VASP calculation (PBE-GGA) on Cs8KHg4 after structural relaxation.

Calculated values
Symmetry   I4/m (87)

a = 5.445 Å, b = 13.683 Å, c = 13.683 Å
α = 87.73°, β = 78.52°, γ = 78.52°
Sites, in units of the cell vectors:
Cs1 0.328 0.072 0.273
Cs2 0.672 0.928 0.727
Cs3 0.600 0.727 0.072
Cs4 0.400 0.273 0.928
Cs5 0.081 0.246 0.592
Cs6 0.919 0.754 0.408
Cs7 0.673 0.408 0.246
Cs8 0.327 0.592 0.754
K1 0.000 0.000 0.000
Hg1 0.266 0.944 0.524
Hg2 0.734 0.056 0.476
Hg3 0.790 0.476 0.944
Hg4 0.210 0.524 0.056

[4]
VASP calculation (PBE-GGA) on Cs3KHg after structural relaxation.

Calculated values
Symmetry   P4_2/mnm (136)
Polymorph energy (0 for the lowest one)   0 meV per atom

a = 5.770 Å, b = 16.387 Å, c = 16.387 Å
α = 90.00°, β = 90.00°, γ = 90.00°
Sites, in units of the cell vectors:
Cs1 0.500 0.684 0.009
Cs2 0.000 0.184 0.491
Cs3 0.000 0.816 0.509
Cs4 0.000 0.899 0.899
Cs5 0.000 0.491 0.184
Cs6 0.500 0.601 0.399
Cs7 0.000 0.101 0.101
Cs8 0.500 0.316 0.991
Cs9 0.500 0.009 0.684
Cs10 0.000 0.509 0.816
Cs11 0.500 0.991 0.316
Cs12 0.500 0.399 0.601
K1 0.500 0.310 0.310
K2 0.000 0.810 0.190
K3 0.500 0.690 0.690
K4 0.000 0.190 0.810
Hg1 0.500 0.929 0.071
Hg2 0.000 0.571 0.571
Hg3 0.500 0.071 0.929
Hg4 0.000 0.429 0.429

[5]
VASP calculation (PBE-GGA) on Cs12KHg4 after structural relaxation.

Calculated values
Symmetry   Im-3 (204)

a = 12.370 Å, b = 12.370 Å, c = 12.370 Å
α = 109.47°, β = 109.47°, γ = 109.47°
Sites, in units of the cell vectors:
Cs1 0.822 0.315 0.137
Cs2 0.315 0.493 0.178
Cs3 0.863 0.178 0.685
Cs4 0.315 0.137 0.822
Cs5 0.137 0.822 0.315
Cs6 0.685 0.507 0.822
Cs7 0.493 0.178 0.315
Cs8 0.507 0.822 0.685
Cs9 0.685 0.863 0.178
Cs10 0.822 0.685 0.507
Cs11 0.178 0.315 0.493
Cs12 0.178 0.685 0.863
K1 0.000 0.000 0.000
Hg1 0.000 0.500 0.000
Hg2 0.500 0.000 0.000
Hg3 0.500 0.500 0.500
Hg4 0.000 0.000 0.500

[6]
VASP calculation (PBE-GGA) on CsK3Hg2 after structural relaxation.

Calculated values
Symmetry   C2/m (12)
Polymorph energy (0 for the lowest one)   0 meV per atom

a = 5.184 Å, b = 10.649 Å, c = 12.773 Å
α = 76.36°, β = 78.29°, γ = 75.91°
Sites, in units of the cell vectors:
Cs1 0.850 0.566 0.734
Cs2 0.150 0.434 0.266
K1 0.157 0.931 0.755
K2 0.843 0.069 0.245
K3 0.416 0.220 0.948
K4 0.584 0.780 0.052
K5 0.585 0.258 0.571
K6 0.415 0.742 0.429
Hg1 0.230 0.583 0.957
Hg2 0.770 0.417 0.043
Hg3 0.768 0.922 0.541
Hg4 0.232 0.078 0.459

[7]
VASP calculation (PBE-GGA) on Cs2K3Hg2 after structural relaxation.

Calculated values
Symmetry   C2/m (12)

a = 5.422 Å, b = 7.853 Å, c = 10.999 Å
α = 111.81°, β = 90.00°, γ = 110.19°
Sites, in units of the cell vectors:
Cs1 0.850 0.700 0.197
Cs2 0.150 0.300 0.803
K1 0.500 0.000 0.000
K2 0.631 0.262 0.436
K3 0.369 0.738 0.564
Hg1 0.842 0.684 0.779
Hg2 0.158 0.316 0.221

[8]
VASP calculation (PBE-GGA) on CsKHg after structural relaxation.

Calculated values
Symmetry   P-1 (2)
Polymorph energy (0 for the lowest one)   6 meV per atom

a = 7.039 Å, b = 7.056 Å, c = 7.628 Å
α = 97.31°, β = 96.39°, γ = 100.75°
Sites, in units of the cell vectors:
Cs1 0.231 0.735 0.938
Cs2 0.769 0.265 0.062
K1 0.302 0.197 0.503
K2 0.698 0.803 0.497
Hg1 0.148 0.647 0.423
Hg2 0.852 0.353 0.577

[9]
VASP calculation (PBE-GGA) on Cs4K3Hg2 after structural relaxation.

Calculated values
Symmetry   C2/m (12)

a = 5.494 Å, b = 11.317 Å, c = 11.411 Å
α = 112.93°, β = 103.93°, γ = 90.00°
Sites, in units of the cell vectors:
Cs1 0.232 0.654 0.463
Cs2 0.768 0.346 0.537
Cs3 0.605 0.850 0.211
Cs4 0.395 0.150 0.789
K1 0.082 0.207 0.164
K2 0.918 0.793 0.836
K3 0.000 0.500 0.000
Hg1 0.397 0.555 0.794
Hg2 0.603 0.445 0.206

[10]
VASP calculation (PBE-GGA) on Cs3K4Hg3 after structural relaxation.

Calculated values
Symmetry   I-43d (220)

a = 11.500 Å, b = 11.500 Å, c = 11.500 Å
α = 109.47°, β = 109.47°, γ = 109.47°
Sites, in units of the cell vectors:
Cs1 0.625 0.750 0.875
Cs2 0.875 0.250 0.625
Cs3 0.125 0.375 0.250
Cs4 0.375 0.125 0.750
Cs5 0.250 0.875 0.125
Cs6 0.750 0.625 0.375
K1 0.000 0.000 0.336
K2 0.500 0.336 0.500
K3 0.664 0.164 0.164
K4 0.000 0.000 0.836
K5 0.836 0.500 0.000
K6 0.500 0.836 0.500
K7 0.336 0.500 0.000
K8 0.164 0.664 0.664
Hg1 0.125 0.750 0.375
Hg2 0.375 0.250 0.125
Hg3 0.625 0.875 0.250
Hg4 0.875 0.625 0.750
Hg5 0.250 0.375 0.625
Hg6 0.750 0.125 0.875

[11]
VASP calculation (PBE-GGA) on Cs5K3Hg3 after structural relaxation.

Calculated values
Symmetry   P-62m (189)

a = 11.905 Å, b = 11.905 Å, c = 6.876 Å
α = 90.00°, β = 90.00°, γ = 120.00°
Sites, in units of the cell vectors:
Cs1 0.333 0.667 0.500
Cs2 0.667 0.333 0.500
Cs3 0.245 0.245 0.500
Cs4 0.000 0.755 0.500
Cs5 0.755 0.000 0.500
K1 0.588 0.588 0.000
K2 0.412 0.000 0.000
K3 0.000 0.412 0.000
Hg1 0.624 0.624 0.500
Hg2 0.000 0.376 0.500
Hg3 0.376 0.000 0.500

[12]
VASP calculation (PBE-GGA) on CsK12Hg6 after structural relaxation.

Calculated values
Symmetry   Im-3 (204)
Polymorph energy (0 for the lowest one)   0 meV per atom

a = 11.016 Å, b = 11.016 Å, c = 11.016 Å
α = 109.47°, β = 109.47°, γ = 109.47°
Sites, in units of the cell vectors:
Cs1 0.000 0.000 0.000
K1 0.311 0.121 0.810
K2 0.311 0.500 0.190
K3 0.689 0.500 0.810
K4 0.689 0.879 0.190
K5 0.121 0.810 0.311
K6 0.500 0.190 0.311
K7 0.500 0.810 0.689
K8 0.879 0.190 0.689
K9 0.810 0.311 0.121
K10 0.190 0.311 0.500
K11 0.810 0.689 0.500
K12 0.190 0.689 0.879
Hg1 0.384 0.500 0.884
Hg2 0.616 0.500 0.116
Hg3 0.500 0.884 0.384
Hg4 0.500 0.116 0.616
Hg5 0.884 0.384 0.500
Hg6 0.116 0.616 0.500

[13]
VASP calculation (PBE-GGA) on CsKHg after structural relaxation.

Calculated values
Symmetry   P-1 (2)
Polymorph energy (0 for the lowest one)   21 meV per atom

a = 4.568 Å, b = 8.729 Å, c = 9.090 Å
α = 104.18°, β = 104.45°, γ = 89.96°
Sites, in units of the cell vectors:
Cs1 0.312 0.487 0.394
Cs2 0.566 0.617 0.895
K1 0.578 0.121 0.926
K2 0.300 0.982 0.362
Hg1 0.938 0.234 0.644
Hg2 0.939 0.870 0.645

[14]
VASP calculation (PBE-GGA) on CsK2MgHg after structural relaxation.

Calculated values
Symmetry   P4/mmm (123)
Polymorph energy (0 for the lowest one)   0 meV per atom

a = 6.923 Å, b = 6.923 Å, c = 5.539 Å
α = 90.00°, β = 90.00°, γ = 90.00°
Sites, in units of the cell vectors:
Cs1 0.500 0.500 0.500
K1 0.000 0.500 0.000
K2 0.500 0.000 0.000
Mg1 0.000 0.000 0.500
Hg1 0.000 0.000 0.000

[15]
VASP calculation (PBE-GGA) on CsK2MgHg after structural relaxation.

Calculated values
Symmetry   P4/mmm (123)
Polymorph energy (0 for the lowest one)   68 meV per atom

a = 7.131 Å, b = 7.131 Å, c = 5.504 Å
α = 90.00°, β = 90.00°, γ = 90.00°
Sites, in units of the cell vectors:
Cs1 0.500 0.500 0.500
K1 0.000 0.500 0.000
K2 0.500 0.000 0.000
Mg1 0.000 0.000 0.000
Hg1 0.000 0.000 0.500

[16]
VASP calculation (PBE-GGA) on CsKMgHg2 after structural relaxation.

Calculated values
Symmetry   P4/mmm (123)

a = 5.837 Å, b = 5.837 Å, c = 6.387 Å
α = 90.00°, β = 90.00°, γ = 90.00°
Sites, in units of the cell vectors:
Cs1 0.500 0.500 0.500
K1 0.000 0.000 0.500
Mg1 0.000 0.000 0.000
Hg1 0.000 0.500 0.000
Hg2 0.500 0.000 0.000

[17]
VASP calculation (PBE-GGA) on CsKHg2N after structural relaxation.

Calculated values
Symmetry   P4/mmm (123)
Uncorrected formation energy   71.3 kJ/mol of atoms

a = 6.901 Å, b = 6.901 Å, c = 4.879 Å
α = 90.00°, β = 90.00°, γ = 90.00°
Site moments in Bohr magnetons follow the coordinates.
Sites, in units of the cell vectors:
Cs1 0.000 0.000 0.000  0.03
K1 0.500 0.500 0.500  0.00
Hg1 0.000 0.500 0.000  -0.01
Hg2 0.500 0.000 0.000  -0.01
N1 0.000 0.000 0.500  0.55

[18]
VASP calculation (PBE-GGA) on CsKNaHg after structural relaxation.

Calculated values
Symmetry   Cm (8)
Polymorph energy (0 for the lowest one)   0 meV per atom

a = 5.516 Å, b = 5.516 Å, c = 9.034 Å
α = 89.93°, β = 107.75°, γ = 120.18°
Sites, in units of the cell vectors:
Cs1 0.373 0.051 0.425
K1 0.996 0.863 0.859
Na1 0.494 0.611 0.106
Hg1 0.828 0.279 0.108

[19]
VASP calculation (PBE-GGA) on Cs2KNa2Hg after structural relaxation.

Calculated values
Symmetry   Ibam (72)

a = 8.348 Å, b = 11.236 Å, c = 10.614 Å
α = 121.96°, β = 113.16°, γ = 90.00°
Sites, in units of the cell vectors:
Cs1 0.688 0.828 0.376
Cs2 0.188 0.548 0.376
Cs3 0.812 0.452 0.624
Cs4 0.312 0.172 0.624
K1 0.250 0.000 0.000
K2 0.750 0.000 0.000
Na1 0.438 0.636 0.876
Na2 0.562 0.364 0.124
Na3 0.062 0.760 0.124
Na4 0.938 0.240 0.876
Hg1 0.750 0.500 0.000
Hg2 0.250 0.500 0.000

[20]
VASP calculation (PBE-GGA) on Cs2K12NaHg3 after structural relaxation.

Calculated values
Symmetry   R-3m (166)

a = 11.734 Å, b = 11.734 Å, c = 11.734 Å
α = 64.91°, β = 64.91°, γ = 64.91°
Sites, in units of the cell vectors:
Cs1 0.582 0.582 0.582
Cs2 0.418 0.418 0.418
K1 0.261 0.261 0.883
K2 0.844 0.844 0.442
K3 0.442 0.844 0.844
K4 0.883 0.261 0.261
K5 0.844 0.442 0.844
K6 0.261 0.883 0.261
K7 0.739 0.739 0.117
K8 0.156 0.156 0.558
K9 0.558 0.156 0.156
K10 0.117 0.739 0.739
K11 0.156 0.558 0.156
K12 0.739 0.117 0.739
Na1 0.000 0.000 0.000
Hg1 0.500 0.000 0.000
Hg2 0.000 0.500 0.000
Hg3 0.000 0.000 0.500

[21]
VASP calculation (PBE-GGA) on Cs2K2NaHg4 after structural relaxation.

Calculated values
Symmetry   I4/mmm (139)

a = 8.213 Å, b = 8.213 Å, c = 8.213 Å
α = 95.23°, β = 117.03°, γ = 117.03°
Sites, in units of the cell vectors:
Cs1 0.500 0.750 0.250
Cs2 0.500 0.250 0.750
K1 0.000 0.683 0.683
K2 0.000 0.317 0.317
Na1 0.000 0.000 0.000
Hg1 0.000 0.740 0.260
Hg2 0.479 0.740 0.740
Hg3 0.000 0.260 0.740
Hg4 0.521 0.260 0.260

[22]
VASP calculation (PBE-GGA) on Cs2K3Na4Hg2 after structural relaxation.

Calculated values
Symmetry   I4/mmm (139)

a = 6.299 Å, b = 6.299 Å, c = 15.493 Å
α = 101.73°, β = 101.73°, γ = 90.00°
Sites, in units of the cell vectors:
Cs1 0.317 0.317 0.633
Cs2 0.683 0.683 0.367
K1 0.000 0.000 0.000
K2 0.158 0.158 0.316
K3 0.842 0.842 0.684
Na1 0.427 0.927 0.853
Na2 0.927 0.427 0.853
Na3 0.073 0.573 0.147
Na4 0.573 0.073 0.147
Hg1 0.448 0.448 0.897
Hg2 0.552 0.552 0.103

Asked for V across the records above, the calculation gives 76.42, 64.41, 75.32, 77.47, 85.72, 54.72, 57.66, 60.93, 70.08, 58.53, 76.72, 54.16, 56.59, 53.09, 55.98, 43.52, 46.47, 55.60, 62.38, 70.27, 45.28, 53.53 Å³/atom in order.
Asked for electronic total energy across the records above, the calculation gives -0.8270, -1.0103, -0.8418, -0.8804, -0.8311, -0.9628, -0.9489, -0.9134, -0.9201, -0.9312, -0.8609, -0.9701, -0.8976, -0.9930, -0.9254, -0.8479, -1.4374, -1.0057, -1.0302, -0.9659, -0.8538, -1.0299 eV/atom in order.